[1]
CeRu5, relaxed, DFT PBE; space group = Cmmm, No. 65; formation enthalpy at 0 K = -0.012 eV per atom; energy = -8.731 eV per atom; Fermi-level density of states = 0.9146 states/eV per atom
1.0
-3.806 -0.827 -0.486
0.963 -3.366 -1.808
-0.538 -1.282 6.393
Ru Ce
5 1
direct
0.500 0.819 0.637 Ru
0.000 0.684 0.369 Ru
0.500 0.500 0.000 Ru
0.000 0.316 0.631 Ru
0.500 0.181 0.363 Ru
0.000 0.000 0.000 Ce

***

[2]
CeRu6, relaxed, DFT PBE; space group = Im-3m, No. 229; formation enthalpy at 0 K = 0.696 eV per atom; energy = -8.103 eV per atom; Fermi-level density of states = 2.0199 states/eV per atom
1.0
-0.659 4.070 4.101
-3.659 1.064 -4.393
-1.153 -5.233 2.260
Ce Ru
1 6
direct
0.000 0.000 0.000 Ce
0.250 0.750 0.500 Ru
0.500 0.750 0.250 Ru
0.250 0.500 0.750 Ru
0.750 0.250 0.500 Ru
0.500 0.250 0.750 Ru
0.750 0.500 0.250 Ru

***

[3]
Ce5Ru4, relaxed, DFT PBE; space group = C2/m, No. 12; formation enthalpy at 0 K = -0.338 eV per atom; energy = -7.757 eV per atom; Fermi-level density of states = 1.4797 states/eV per atom; polymorph energy (0 for the lowest one) = 0.0000 eV/atom
1.0
-0.496 -1.673 3.412
3.674 -4.848 0.310
7.756 2.935 4.718
Ce Ru
5 4
direct
0.107 0.187 0.600 Ce
0.893 0.813 0.400 Ce
0.771 0.640 0.817 Ce
0.229 0.360 0.183 Ce
0.000 0.000 0.000 Ce
0.490 0.204 0.816 Ru
0.510 0.796 0.184 Ru
0.368 0.651 0.613 Ru
0.632 0.349 0.387 Ru

***

[4]
CeRu, relaxed, DFT PBE; space group = Fm-3m, No. 225; formation enthalpy at 0 K = -0.184 eV per atom; energy = -7.789 eV per atom; Fermi-level density of states = 0.5049 states/eV per atom
1.0
3.940 0.000 0.000
1.970 3.412 0.000
1.970 1.137 3.217
Ru Ce
1 1
direct
0.500 0.500 0.500 Ru
0.000 0.000 0.000 Ce

***

[5]
CeRu2, relaxed, DFT PBE; space group = Fd-3m, No. 227; formation enthalpy at 0 K = -0.281 eV per atom; energy = -8.443 eV per atom; Fermi-level density of states = 1.2824 states/eV per atom
1.0
5.356 0.000 0.000
2.678 4.639 0.000
2.678 1.546 4.373
Ce Ru
2 4
direct
0.000 0.000 0.000 Ce
0.250 0.250 0.250 Ce
0.125 0.625 0.625 Ru
0.625 0.125 0.625 Ru
0.625 0.625 0.625 Ru
0.625 0.625 0.125 Ru

***

[6]
CeRu3, relaxed, DFT PBE; space group = I4/mmm, No. 139; formation enthalpy at 0 K = 0.050 eV per atom; energy = -8.390 eV per atom; Fermi-level density of states = 1.6024 states/eV per atom
1.0
4.076 0.000 0.000
0.000 4.076 0.000
-2.038 -2.038 4.007
Ru Ce
3 1
direct
0.750 0.250 0.500 Ru
0.250 0.750 0.500 Ru
0.500 0.500 0.000 Ru
0.000 0.000 0.000 Ce

***

[7]
CeRu4, relaxed, DFT PBE; space group = Pm-3m, No. 221; formation enthalpy at 0 K = 1.747 eV per atom; energy = -6.860 eV per atom; Fermi-level density of states = 0.9864 states/eV per atom
1.0
-1.547 3.224 -3.045
-4.044 -2.349 -0.432
-1.820 2.479 3.550
Ru Ce
4 1
direct
0.000 0.000 0.000 Ru
0.500 0.000 0.500 Ru
0.000 0.500 0.500 Ru
0.500 0.500 0.000 Ru
0.500 0.500 0.500 Ce

***

[8]
Ce5Ru4, relaxed, DFT PBE; space group = I4/m, No. 87; formation enthalpy at 0 K = -0.251 eV per atom; energy = -7.671 eV per atom; Fermi-level density of states = 1.4183 states/eV per atom; polymorph energy (0 for the lowest one) = 0.0862 eV/atom
1.0
5.545 0.000 0.000
2.773 6.244 0.000
2.773 0.000 6.244
Ce Ru
5 4
direct
0.500 0.000 0.000 Ce
0.099 0.594 0.208 Ce
0.307 0.792 0.594 Ce
0.693 0.208 0.406 Ce
0.901 0.406 0.792 Ce
0.212 0.182 0.395 Ru
0.607 0.605 0.182 Ru
0.394 0.395 0.818 Ru
0.788 0.818 0.605 Ru

***

[9]
CeRu3, relaxed, DFT PBE; space group = Pmma, No. 51; formation enthalpy at 0 K = -0.018 eV per atom; energy = -8.459 eV per atom; Fermi-level density of states = 1.4437 states/eV per atom
1.0
-2.060 -2.869 -2.676
4.443 -0.584 -2.793
1.632 -4.463 3.529
Ce Ru
2 6
direct
0.000 0.250 0.711 Ce
0.000 0.750 0.289 Ce
0.000 0.750 0.815 Ru
0.000 0.250 0.185 Ru
0.500 0.000 0.000 Ru
0.500 0.500 0.000 Ru
0.500 0.750 0.587 Ru
0.500 0.250 0.413 Ru

***

[10]
Ce5Ru3, relaxed, DFT PBE; space group = Pnma, No. 62; formation enthalpy at 0 K = -0.285 eV per atom; energy = -7.472 eV per atom; Fermi-level density of states = 2.0434 states/eV per atom
1.0
-3.010 -5.614 5.141
-2.277 -4.421 -6.161
10.139 -5.351 0.093
Ce Ru
20 12
direct
0.364 0.250 0.300 Ce
0.864 0.750 0.200 Ce
0.636 0.750 0.700 Ce
0.136 0.250 0.800 Ce
0.800 0.250 0.210 Ce
0.300 0.750 0.290 Ce
0.200 0.750 0.790 Ce
0.700 0.250 0.710 Ce
0.524 0.250 0.002 Ce
0.024 0.750 0.498 Ce
0.476 0.750 0.998 Ce
0.976 0.250 0.502 Ce
0.177 0.046 0.095 Ce
0.677 0.954 0.405 Ce
0.823 0.546 0.905 Ce
0.323 0.454 0.595 Ce
0.823 0.954 0.905 Ce
0.323 0.046 0.595 Ce
0.177 0.454 0.095 Ce
0.677 0.546 0.405 Ce
0.574 0.250 0.483 Ru
0.074 0.750 0.017 Ru
0.426 0.750 0.517 Ru
0.926 0.250 0.983 Ru
0.036 0.461 0.324 Ru
0.536 0.539 0.176 Ru
0.964 0.961 0.676 Ru
0.464 0.039 0.824 Ru
0.964 0.539 0.676 Ru
0.464 0.461 0.824 Ru
0.036 0.039 0.324 Ru
0.536 0.961 0.176 Ru

***

[11]
Ce7Ru3, relaxed, DFT PBE; space group = P6_3mc, No. 186; formation enthalpy at 0 K = -0.271 eV per atom; energy = -7.207 eV per atom; Fermi-level density of states = 2.5862 states/eV per atom
1.0
-3.406 0.137 8.974
9.147 -2.416 -1.626
1.657 5.911 0.538
Ce Ru
14 6
direct
0.926 0.463 0.034 Ce
0.463 0.537 0.534 Ce
0.126 0.874 0.258 Ce
0.252 0.126 0.758 Ce
0.874 0.748 0.758 Ce
0.126 0.252 0.258 Ce
0.748 0.874 0.258 Ce
0.874 0.126 0.758 Ce
0.537 0.074 0.034 Ce
0.463 0.926 0.534 Ce
0.074 0.537 0.534 Ce
0.537 0.463 0.034 Ce
0.667 0.333 0.541 Ce
0.333 0.667 0.041 Ce
0.182 0.818 0.787 Ru
0.363 0.182 0.287 Ru
0.818 0.637 0.287 Ru
0.182 0.363 0.787 Ru
0.637 0.818 0.787 Ru
0.818 0.182 0.287 Ru

***

[12]
CeRu, relaxed, DFT PBE; space group = P2_1/m, No. 11; formation enthalpy at 0 K = -0.055 eV per atom; energy = -7.659 eV per atom; Fermi-level density of states = 1.1591 states/eV per atom
1.0
-2.533 1.682 -0.112
-1.708 -2.439 1.995
4.921 2.020 6.683
Ru Ce
2 2
direct
0.888 0.750 0.604 Ru
0.112 0.250 0.396 Ru
0.171 0.750 0.201 Ce
0.829 0.250 0.799 Ce

***

[13]
CeRuS, relaxed, DFT PBE; space group = P-1, No. 2; energy = -7.452 eV per atom; Fermi-level density of states = 0.8587 states/eV per atom; E_form (uncorrected) = -1.006 eV per atom
1.0
-3.856 2.408 2.921
-5.609 1.886 -0.683
-0.149 -4.525 5.254
Ce Ru S
2 2 2
direct
0.324 0.431 0.750 Ce
0.676 0.569 0.250 Ce
0.231 0.384 0.249 Ru
0.769 0.616 0.751 Ru
0.899 0.950 0.251 S
0.101 0.050 0.749 S

***

no.,M_tot (μB per atom)
1,0.00
2,0.12
3,0.00
4,0.00
5,0.00
6,0.00
7,1.04
8,0.00
9,0.00
10,0.11
11,0.26
12,0.00
13,0.00